# 1
Here is a relaxed Sm2ZrSe4 crystal from Alexandria via LeMat-Bulk. Energies are from PBE-GGA.

```
14
Lattice="1.956 -6.890 0.000 1.956 6.890 0.000 0.000 0.000 13.660" Properties=species:S:1:pos:R:3 pbc="T T T"
Sm 1.956 5.110 7.939
Sm 1.956 5.110 12.550
Sm 1.956 -5.110 1.109
Sm 1.956 -5.110 5.721
Zr 1.956 1.994 10.245
Zr 1.956 -1.994 3.415
Se 1.956 6.862 10.245
Se 1.956 3.882 1.691
Se 1.956 3.882 5.138
Se 1.956 0.000 0.000
Se 1.956 0.000 6.830
Se 1.956 -3.882 8.521
Se 1.956 -3.882 11.968
Se 1.956 -6.862 3.415
```

- size of the total moment (μB/cell) = 0.0
- raw formation energy (eV per atom) = -1.538
- D(E_F) (states/eV/cell) = 6.97
- final energy (eV per cell) = -85.4

=====

# 2
Here is a relaxed SnSe crystal from Alexandria via LeMat-Bulk. Energies are from PBE-GGA.

```
4
Lattice="2.952 -6.221 0.000 2.952 6.221 0.000 0.000 0.000 2.972" Properties=species:S:1:pos:R:3 pbc="T T T"
Sn 2.952 4.566 0.000
Sn 2.952 -4.566 0.000
Se 2.952 1.784 0.000
Se 2.952 -1.784 0.000
```

- size of the total moment (μB/cell) = 0.0
- raw formation energy (eV per atom) = -0.180
- D(E_F) (states/eV/cell) = 1.06
- final energy (eV per cell) = -15.7

=====

# 3
Here is a relaxed SnSe crystal from Alexandria via LeMat-Bulk. Energies are from PBE-GGA.

```
8
Lattice="-4.996 4.996 4.996 4.996 -4.996 4.996 4.996 4.996 -4.996" Properties=species:S:1:pos:R:3 pbc="T T T"
Sn 1.349 1.349 -1.349
Sn 1.349 -1.349 1.349
Sn -1.349 1.349 1.349
Sn 3.647 3.647 3.647
Se 3.565 3.565 -3.565
Se 3.565 -3.565 3.565
Se 1.431 1.431 1.431
Se -3.565 3.565 3.565
```

- size of the total moment (μB/cell) = 0.0
- raw formation energy (eV per atom) = -0.289
- D(E_F) (states/eV/cell) = 0.00
- final energy (eV per cell) = -32.3

=====

# 4
Here is a relaxed SnSe4 crystal from Alexandria via LeMat-Bulk. Energies are from PBE-GGA.

```
5
Lattice="5.261 0.000 0.000 0.000 5.261 0.000 0.000 0.000 5.261" Properties=species:S:1:pos:R:3 pbc="T T T"
Sn 0.000 0.000 0.000
Se 0.000 0.000 2.630
Se 0.000 2.630 0.000
Se 2.630 0.000 0.000
Se 2.630 2.630 2.630
```

- size of the total moment (μB/cell) = 1.1
- raw formation energy (eV per atom) = 0.683
- D(E_F) (states/eV/cell) = 7.50
- final energy (eV per cell) = -14.5